This record from Alexandria describes crystalline Y3Tm12Zr at its relaxed geometry. The functional is PBE.

The structure in POSCAR format:
```
Y3Tm12Zr
1.0
4.9282 0.0000 0.0000
0.0000 4.9282 0.0000
0.0000 0.0000 19.6659
Y Tm Zr
3 12 1
Direct
0.0000 0.0000 0.0000
0.0000 0.0000 0.2525
0.0000 0.0000 0.7475
0.0000 0.5000 0.1271
0.0000 0.5000 0.3829
0.0000 0.5000 0.6171
0.0000 0.5000 0.8729
0.5000 0.0000 0.1271
0.5000 0.0000 0.3829
0.5000 0.0000 0.6171
0.5000 0.0000 0.8729
0.5000 0.5000 0.0000
0.5000 0.5000 0.2532
0.5000 0.5000 0.5000
0.5000 0.5000 0.7468
0.0000 0.0000 0.5000
```

Computed properties:
E ... -5.0609 eV/atom
Total magnetization ... 0.00 μB/cell
Energy of formation from the pure elements ... 0.6 eV/f.u.



This record from Alexandria describes crystalline Y2Tm4Zr at its relaxed geometry. The functional is PBE.

The structure in POSCAR format:
```
Y2Tm4Zr
1.0
1.7575 1.0147 19.3946
-1.7575 1.0147 19.3946
0.0000 -2.0294 19.3946
Y Tm Zr
2 4 1
Direct
0.0000 0.0000 0.0000
0.0978 0.0978 0.0978
0.2846 0.2846 0.2846
0.3824 0.3824 0.3824
0.8145 0.8145 0.8145
0.9025 0.9025 0.9025
0.1918 0.1918 0.1918
```

Computed properties:
E ... -5.5949 eV/atom
Total magnetization ... 0.57 μB/cell
Energy of formation from the pure elements ... 0.2 eV/f.u.



This record from Alexandria describes crystalline Y6Tm8Zr at its relaxed geometry. The functional is PBE.

The structure in POSCAR format:
```
Y6Tm8Zr
1.0
4.4732 2.5826 6.7242
-4.4732 2.5826 6.7242
0.0000 -5.1652 6.7242
Y Tm Zr
6 8 1
Direct
0.1187 0.2123 0.5455
0.2123 0.5455 0.1187
0.4545 0.8813 0.7877
0.5455 0.1187 0.2123
0.7877 0.4545 0.8813
0.8813 0.7877 0.4545
0.1091 0.7479 0.7239
0.2521 0.2761 0.8909
0.2761 0.8909 0.2521
0.4243 0.4243 0.4243
0.5757 0.5757 0.5757
0.7239 0.1091 0.7479
0.7479 0.7239 0.1091
0.8909 0.2521 0.2761
0.0000 0.0000 0.0000
```

Computed properties:
E ... -5.4192 eV/atom
Total magnetization ... 0.00 μB/cell
Energy of formation from the pure elements ... 1.8 eV/f.u.



This record from Alexandria describes crystalline Yb6Tm at its relaxed geometry. The functional is PBE.

The structure in POSCAR format:
```
Yb6Tm
1.0
-4.3677 4.3677 4.3677
4.3677 -4.3677 4.3677
4.3677 4.3677 -4.3677
Yb Tm
6 1
Direct
0.2500 0.5000 0.7500
0.2500 0.7500 0.5000
0.5000 0.2500 0.7500
0.5000 0.7500 0.2500
0.7500 0.2500 0.5000
0.7500 0.5000 0.2500
0.0000 0.0000 0.0000
```

Computed properties:
E ... -0.7559 eV/atom
Total magnetization ... 0.00 μB/cell
Energy of formation from the pure elements ... 8.3 eV/f.u.



This record from Alexandria describes crystalline Yb3Tm at its relaxed geometry. The functional is PBE.

The structure in POSCAR format:
```
Yb3Tm
1.0
7.2326 0.0000 0.0000
-3.6163 6.2636 0.0000
0.0000 0.0000 5.9036
Yb Tm
6 2
Direct
0.1692 0.3385 0.2500
0.1692 0.8308 0.2500
0.3385 0.1692 0.7500
0.6615 0.8308 0.2500
0.8308 0.1692 0.7500
0.8308 0.6615 0.7500
0.3333 0.6667 0.7500
0.6667 0.3333 0.2500
```

Computed properties:
E ... -2.3249 eV/atom
Total magnetization ... 0.00 μB/cell
Energy of formation from the pure elements ... -0.3 eV/f.u.



This record from Alexandria describes crystalline YbTm3 at its relaxed geometry. The functional is PBE.

The structure in POSCAR format:
```
YbTm3
1.0
-2.4826 2.4826 4.9777
2.4826 -2.4826 4.9777
2.4826 2.4826 -4.9777
Yb Tm
1 3
Direct
0.0000 0.0000 0.0000
0.2500 0.7500 0.5000
0.5000 0.5000 0.0000
0.7500 0.2500 0.5000
```

Computed properties:
E ... -3.7025 eV/atom
Total magnetization ... 0.00 μB/cell
Energy of formation from the pure elements ... 0.1 eV/f.u.



This record from Alexandria describes crystalline YbTmZn2 at its relaxed geometry. The functional is PBE.

The structure in POSCAR format:
```
YbTmZn2
1.0
0.0000 3.5518 3.5518
3.5518 0.0000 3.5518
3.5518 3.5518 0.0000
Yb Tm Zn
1 1 2
Direct
0.0000 0.0000 0.0000
0.5000 0.5000 0.5000
0.2500 0.2500 0.2500
0.7500 0.7500 0.7500
```

Computed properties:
E ... -2.4678 eV/atom
Total magnetization ... 0.00 μB/cell
Energy of formation from the pure elements ... -1.3 eV/f.u.



This record from Alexandria describes crystalline TmZn3 at its relaxed geometry. The functional is PBE.

The structure in POSCAR format:
```
TmZn3
1.0
4.1331 0.0000 0.0000
0.0000 4.1331 0.0000
0.0000 0.0000 4.3921
Tm Zn
1 3
Direct
0.0000 0.0000 0.0000
0.0000 0.5000 0.5000
0.5000 0.0000 0.5000
0.5000 0.5000 0.0000
```

Computed properties:
E ... -2.2953 eV/atom
Total magnetization ... 0.00 μB/cell
Energy of formation from the pure elements ... -0.9 eV/f.u.